[1]
ScTaZnOs: relaxed, PBE.

The structure in POSCAR format:
```
ScTaZnOs
1.0
0.0000 3.2212 3.2212
3.2212 0.0000 3.2212
3.2212 3.2212 0.0000
Sc Ta Zn Os
1 1 1 1
direct
0.0000 0.0000 0.0000
0.5000 0.5000 0.5000
0.7500 0.7500 0.7500
0.2500 0.2500 0.2500
```

DFT formation energy	-0.262	eV per atom
total magnetization	0.000	μB/atom
symmetry	No. 216
DOS at the Fermi energy	2.898	states/eV/cell
V	66.8	Å³/f.u.

[2]
SrOs2Br: relaxed, PBE.

The structure in POSCAR format:
```
SrOs2Br
1.0
-1.9093 2.8738 4.5607
1.9093 -2.8738 4.5607
1.9093 2.8738 -4.5607
Sr Os Br
1 2 1
direct
0.0000 0.0000 0.0000
0.5156 0.5156 0.0000
0.6615 0.1615 0.5000
0.2924 0.7924 0.5000
```

polymorph energy (0 for the lowest one)	463	meV/atom
formation energy from raw total energies	51.95	kJ/mol of atoms
total magnetization	0.000	μB/atom
symmetry	No. 44
DOS at the Fermi energy	4.042	states/eV/cell
V	100.1	Å³/f.u.

[3]
LuMgTiGa: relaxed, PBE.

The structure in POSCAR format:
```
LuMgTiGa
1.0
0.0000 3.4058 3.4058
3.4058 0.0000 3.4058
3.4058 3.4058 0.0000
Lu Mg Ti Ga
1 1 1 1
direct
0.0000 0.0000 0.0000
0.2500 0.2500 0.2500
0.5000 0.5000 0.5000
0.7500 0.7500 0.7500
```

DFT formation energy	-0.131	eV per atom
total magnetization	0.002	μB/atom
symmetry	No. 216
DOS at the Fermi energy	3.740	states/eV/cell
V	79.0	Å³/f.u.

[4]
ZnSn3H: relaxed, PBE.

The structure in POSCAR format:
```
ZnSn3H
1.0
4.7160 0.0000 0.0000
0.0000 4.7160 0.0000
0.0000 0.0000 4.7160
Zn Sn H
1 3 1
direct
0.0000 0.0000 0.0000
0.0000 0.5000 0.5000
0.5000 0.0000 0.5000
0.5000 0.5000 0.0000
0.5000 0.5000 0.5000
```

polymorph energy (0 for the lowest one)	0	meV/atom
total magnetization	0.000	μB/atom
symmetry	No. 221
DOS at the Fermi energy	2.675	states/eV/cell
V	104.9	Å³/f.u.